Entry 1:
VASP calculation (GGA-PBE) on a geometry-optimized Ce2HoZn8 structure.

The calculation puts the formation energy at -240 meV per atom. For the raw total energy, the calculation gives -29.3 eV for the cell shown.

POSCAR file:
```
Ce2HoZn8
1.0
3.907 -7.288 0.000
3.907 7.288 0.000
-2.983 0.000 3.800
Ce Ho Zn
2 1 8
Direct
0.193 0.807 0.000
0.807 0.193 0.000
0.500 0.500 0.500
0.000 0.000 0.251
0.000 0.000 0.749
0.166 0.398 0.782
0.304 0.696 0.500
0.398 0.166 0.782
0.602 0.834 0.218
0.696 0.304 0.500
0.834 0.602 0.218
```

=====

Entry 2:
VASP calculation (GGA-PBE) on a geometry-optimized Sm2GaCo5Si2 structure.

The value obtained for the uncorrected formation energy is -0.35 eV per atom. For the raw total energy, the calculation gives -124.6 eV for the cell shown.

POSCAR file:
```
Sm2GaCo5Si2
1.0
9.523 0.000 0.000
0.000 9.523 0.000
0.000 0.000 3.293
Sm Ga Co Si
4 2 10 4
Direct
0.179 0.321 0.000
0.321 0.821 0.000
0.679 0.179 0.000
0.821 0.679 0.000
0.000 0.000 0.000
0.500 0.500 0.000
0.000 0.500 0.500
0.065 0.782 0.500
0.218 0.065 0.500
0.282 0.565 0.500
0.435 0.282 0.500
0.500 0.000 0.500
0.565 0.718 0.500
0.718 0.435 0.500
0.782 0.935 0.500
0.935 0.218 0.500
0.118 0.618 0.000
0.382 0.118 0.000
0.618 0.882 0.000
0.882 0.382 0.000
```

=====

Entry 3:
VASP calculation (GGA-PBE) on a geometry-optimized Cs2KV structure.

The calculation puts the formation energy at 1139 meV per atom. The offset from the most stable computed form is 81 kJ/mol of formula units. For the raw total energy, the calculation gives -14.7 eV for the cell shown.

POSCAR file:
```
Cs2KV
1.0
-5.080 5.080 7.508
5.080 -5.080 7.508
5.080 5.080 -7.508
Cs K V
4 2 2
Direct
0.375 0.123 0.248
0.873 0.625 0.748
0.875 0.127 0.752
0.877 0.125 0.252
0.250 0.750 0.500
0.500 0.500 0.000
0.000 0.000 0.000
0.750 0.250 0.500
```

=====

Entry 4:
VASP calculation (GGA-PBE) on a geometry-optimized LaFe2Br structure.

The offset from the most stable computed form is 284 kJ/mol of formula units. The value obtained for the uncorrected formation energy is 0.63 eV per atom. For the raw total energy, the calculation gives -21.0 eV for the cell shown.

POSCAR file:
```
LaFe2Br
1.0
0.000 3.425 3.425
3.425 0.000 3.425
3.425 3.425 0.000
La Fe Br
1 2 1
Direct
0.000 0.000 0.000
0.250 0.250 0.250
0.750 0.750 0.750
0.500 0.500 0.500
```

=====

Entry 5:
VASP calculation (GGA-PBE) on a geometry-optimized Ac12Si3Ru5 structure.

The value obtained for the uncorrected formation energy is -0.08 eV per atom. For the raw total energy, the calculation gives -453.9 eV for the cell shown.

POSCAR file:
```
Ac12Si3Ru5
1.0
-8.909 8.909 8.909
8.909 -8.909 8.909
8.909 8.909 -8.909
Ac Si Ru
48 12 20
Direct
0.033 0.211 0.127
0.033 0.322 0.906
0.084 0.711 0.678
0.084 0.873 0.406
0.094 0.627 0.416
0.094 0.967 0.678
0.127 0.033 0.211
0.127 0.594 0.916
0.178 0.211 0.584
0.178 0.467 0.594
0.211 0.127 0.033
0.211 0.584 0.178
0.289 0.322 0.916
0.289 0.467 0.373
0.322 0.906 0.033
0.322 0.916 0.289
0.373 0.289 0.467
0.373 0.584 0.906
0.406 0.084 0.873
0.406 0.822 0.533
0.416 0.094 0.627
0.416 0.822 0.789
0.467 0.373 0.289
0.467 0.594 0.178
0.533 0.406 0.822
0.533 0.627 0.711
0.584 0.178 0.211
0.584 0.906 0.373
0.594 0.178 0.467
0.594 0.916 0.127
0.627 0.416 0.094
0.627 0.711 0.533
0.678 0.084 0.711
0.678 0.094 0.967
0.711 0.533 0.627
0.711 0.678 0.084
0.789 0.416 0.822
0.789 0.873 0.967
0.822 0.533 0.406
0.822 0.789 0.416
0.873 0.406 0.084
0.873 0.967 0.789
0.906 0.033 0.322
0.906 0.373 0.584
0.916 0.127 0.594
0.916 0.289 0.322
0.967 0.678 0.094
0.967 0.789 0.873
0.125 0.250 0.375
0.125 0.375 0.750
0.250 0.375 0.125
0.250 0.875 0.625
0.375 0.125 0.250
0.375 0.750 0.125
0.625 0.250 0.875
0.625 0.875 0.750
0.750 0.125 0.375
0.750 0.625 0.875
0.875 0.625 0.250
0.875 0.750 0.625
0.000 0.000 0.000
0.000 0.000 0.500
0.000 0.500 0.000
0.000 0.500 0.500
0.125 0.750 0.875
0.125 0.875 0.250
0.250 0.125 0.875
0.250 0.625 0.375
0.375 0.250 0.625
0.375 0.625 0.750
0.500 0.000 0.000
0.500 0.000 0.500
0.500 0.500 0.000
0.500 0.500 0.500
0.625 0.375 0.250
0.625 0.750 0.375
0.750 0.375 0.625
0.750 0.875 0.125
0.875 0.125 0.750
0.875 0.250 0.125
```

=====

Entry 6:
VASP calculation (GGA-PBE) on a geometry-optimized Mg2InIr structure.

The calculation puts the formation energy at -151 meV per atom. For the raw total energy, the calculation gives -15.4 eV for the cell shown.

POSCAR file:
```
Mg2InIr
1.0
3.112 0.000 0.000
0.000 4.470 0.000
-1.524 0.000 5.461
Mg In Ir
2 1 1
Direct
0.000 0.000 0.000
0.335 0.500 0.674
0.611 0.500 0.221
0.747 0.000 0.499
```

=====

Entry 7:
VASP calculation (GGA-PBE) on a geometry-optimized SrLaPuN3 structure.

The value obtained for the uncorrected formation energy is -0.78 eV per atom. For the raw total energy, the calculation gives -101.2 eV for the cell shown.

POSCAR file:
```
SrLaPuN3
1.0
7.834 0.000 0.000
0.000 3.748 0.000
-1.108 0.000 8.495
Sr La Pu N
2 2 2 6
Direct
0.165 0.250 0.136
0.835 0.750 0.864
0.393 0.750 0.834
0.607 0.250 0.166
0.051 0.250 0.586
0.949 0.750 0.414
0.092 0.250 0.819
0.200 0.750 0.568
0.400 0.750 0.111
0.600 0.250 0.889
0.800 0.250 0.432
0.908 0.750 0.181
```

=====

Entry 8:
VASP calculation (GGA-PBE) on a geometry-optimized LiAlP structure.

The calculation puts the formation energy at -97 meV per atom. For the raw total energy, the calculation gives -11.4 eV for the cell shown.

POSCAR file:
```
LiAlP
1.0
3.184 0.000 0.000
-1.592 2.758 0.000
0.000 0.000 5.882
Li Al P
1 1 1
Direct
0.000 0.000 0.000
0.667 0.333 0.600
0.333 0.667 0.316
```

=====

Entry 9:
VASP calculation (GGA-PBE) on a geometry-optimized YTl3Hg12 structure.

The calculation puts the formation energy at -90 meV per atom. For the raw total energy, the calculation gives -18.6 eV for the cell shown.

POSCAR file:
```
YTl3Hg12
1.0
4.348 0.000 0.000
0.000 4.820 0.000
0.000 0.000 20.746
Y Tl Hg
1 3 12
Direct
0.000 0.000 0.000
0.000 0.000 0.240
0.000 0.000 0.500
0.000 0.000 0.760
0.000 0.500 0.114
0.000 0.500 0.369
0.000 0.500 0.631
0.000 0.500 0.886
0.500 0.000 0.114
0.500 0.000 0.368
0.500 0.000 0.632
0.500 0.000 0.886
0.500 0.500 0.000
0.500 0.500 0.239
0.500 0.500 0.500
0.500 0.500 0.761
```

=====

Entry 10:
VASP calculation (GGA-PBE) on a geometry-optimized VOs2Pd structure.

The calculation puts the formation energy at 251 meV per atom. The offset from the most stable computed form is 114 kJ/mol of formula units. For the raw total energy, the calculation gives -35.8 eV for the cell shown.

POSCAR file:
```
VOs2Pd
1.0
0.000 3.064 3.064
3.064 0.000 3.064
3.064 3.064 0.000
V Os Pd
1 2 1
Direct
0.000 0.000 0.000
0.250 0.250 0.250
0.750 0.750 0.750
0.500 0.500 0.500
```

=====

Entry 11:
VASP calculation (GGA-PBE) on a geometry-optimized AcEuCuSn structure.

The calculation puts the formation energy at -399 meV per atom. For the raw total energy, the calculation gives -24.1 eV for the cell shown.

POSCAR file:
```
AcEuCuSn
1.0
0.000 3.916 3.916
3.916 0.000 3.916
3.916 3.916 0.000
Ac Eu Cu Sn
1 1 1 1
Direct
0.000 0.000 0.000
0.500 0.500 0.500
0.250 0.250 0.250
0.750 0.750 0.750
```

=====

Entry 12:
VASP calculation (GGA-PBE) on a geometry-optimized BaAgAs2P structure.

The calculation puts the formation energy at 1346 meV per atom. For the raw total energy, the calculation gives -12.8 eV for the cell shown.

POSCAR file:
```
BaAgAs2P
1.0
5.870 0.000 0.000
0.000 5.870 0.000
0.000 0.000 5.659
Ba Ag As P
1 1 2 1
Direct
0.000 0.000 0.000
0.500 0.500 0.500
0.000 0.500 0.000
0.500 0.000 0.000
0.000 0.000 0.500
```

=====

Entry 13:
VASP calculation (GGA-PBE) on a geometry-optimized CsNbCd2Te structure.

The value obtained for the uncorrected formation energy is 1.62 eV per atom. For the raw total energy, the calculation gives -7.8 eV for the cell shown.

POSCAR file:
```
CsNbCd2Te
1.0
6.347 0.000 0.000
0.000 6.347 0.000
0.000 0.000 6.399
Cs Nb Cd Te
1 1 2 1
Direct
0.000 0.000 0.000
0.000 0.000 0.500
0.000 0.500 0.000
0.500 0.000 0.000
0.500 0.500 0.500
```

=====

Entry 14:
VASP calculation (GGA-PBE) on a geometry-optimized NaBiBr2O structure.

The value obtained for the uncorrected formation energy is -0.44 eV per atom. For the raw total energy, the calculation gives -15.7 eV for the cell shown.

POSCAR file:
```
NaBiBr2O
1.0
6.274 0.000 0.000
0.000 6.274 0.000
0.000 0.000 4.161
Na Bi Br O
1 1 2 1
Direct
0.000 0.000 0.000
0.500 0.500 0.000
0.000 0.500 0.500
0.500 0.000 0.500
0.500 0.500 0.500
```

=====

Entry 15:
VASP calculation (GGA-PBE) on a geometry-optimized Na2Li2H structure.

The offset from the most stable computed form is 0 kJ/mol of formula units. For the raw total energy, the calculation gives -8.9 eV for the cell shown.

POSCAR file:
```
Na2Li2H
1.0
-1.751 1.751 8.902
1.751 -1.751 8.902
1.751 1.751 -8.902
Na Li H
2 2 1
Direct
0.086 0.086 0.000
0.914 0.914 0.000
0.250 0.750 0.500
0.750 0.250 0.500
0.500 0.500 0.000
```

=====

Entry 16:
VASP calculation (GGA-PBE) on a geometry-optimized CuHgH3 structure.

The offset from the most stable computed form is 0 kJ/mol of formula units. For the raw total energy, the calculation gives -11.6 eV for the cell shown.

POSCAR file:
```
CuHgH3
1.0
3.650 0.000 0.000
0.000 3.650 0.000
0.000 0.000 3.650
Cu Hg H
1 1 3
Direct
0.000 0.000 0.000
0.500 0.500 0.500
0.000 0.000 0.500
0.000 0.500 0.000
0.500 0.000 0.000
```

=====

Entry 17:
VASP calculation (GGA-PBE) on a geometry-optimized Sr2AcUS6 structure.

The value obtained for the uncorrected formation energy is -1.84 eV per atom. For the raw total energy, the calculation gives -123.8 eV for the cell shown.

POSCAR file:
```
Sr2AcUS6
1.0
7.122 0.000 0.000
0.000 7.634 0.000
-6.984 0.000 10.426
Sr Ac U S
4 2 2 12
Direct
0.221 0.079 0.250
0.221 0.421 0.750
0.779 0.579 0.250
0.779 0.921 0.750
0.500 0.000 0.000
0.500 0.500 0.500
0.000 0.000 0.500
0.000 0.500 0.000
0.097 0.210 0.925
0.097 0.290 0.425
0.227 0.681 0.933
0.227 0.819 0.433
0.364 0.053 0.732
0.364 0.447 0.232
0.636 0.553 0.768
0.636 0.947 0.268
0.773 0.181 0.567
0.773 0.319 0.067
0.903 0.710 0.575
0.903 0.790 0.075
```

=====

Entry 18:
VASP calculation (GGA-PBE) on a geometry-optimized KTl2Cl structure.

The offset from the most stable computed form is 82 kJ/mol of formula units. The value obtained for the uncorrected formation energy is -0.50 eV per atom. For the raw total energy, the calculation gives -9.7 eV for the cell shown.

POSCAR file:
```
KTl2Cl
1.0
3.119 -5.839 0.000
3.119 5.839 0.000
0.000 0.000 3.744
K Tl Cl
1 2 1
Direct
0.000 0.000 0.000
0.000 0.500 0.500
0.500 0.000 0.500
0.500 0.500 0.000
```

=====

Entry 19:
VASP calculation (GGA-PBE) on a geometry-optimized ErZnGa3Pd structure.

The calculation puts the formation energy at -273 meV per atom. For the raw total energy, the calculation gives -43.5 eV for the cell shown.

POSCAR file:
```
ErZnGa3Pd
1.0
2.935 -6.208 0.000
2.935 6.208 0.000
0.000 0.000 6.272
Er Zn Ga Pd
2 2 6 2
Direct
0.190 0.810 0.750
0.810 0.190 0.250
0.410 0.590 0.750
0.590 0.410 0.250
0.216 0.216 0.000
0.216 0.216 0.500
0.360 0.640 0.250
0.640 0.360 0.750
0.784 0.784 0.000
0.784 0.784 0.500
0.152 0.848 0.250
0.848 0.152 0.750
```

=====

Entry 20:
VASP calculation (GGA-PBE) on a geometry-optimized In2FeBH structure.

For the raw total energy, the calculation gives -18.7 eV for the cell shown.

POSCAR file:
```
In2FeBH
1.0
5.030 0.000 0.000
0.000 5.030 0.000
0.000 0.000 3.152
In Fe B H
2 1 1 1
Direct
0.000 0.500 0.000
0.500 0.000 0.000
0.000 0.000 0.000
0.500 0.500 0.500
0.000 0.000 0.500
```

=====

Entry 21:
VASP calculation (GGA-PBE) on a geometry-optimized K2LiZn structure.

The calculation puts the formation energy at 261 meV per atom. For the raw total energy, the calculation gives -4.3 eV for the cell shown.

POSCAR file:
```
K2LiZn
1.0
2.102 1.214 11.206
-2.102 1.214 11.206
0.000 -2.427 11.206
K Li Zn
2 1 1
Direct
0.244 0.244 0.244
0.756 0.756 0.756
0.000 0.000 0.000
0.500 0.500 0.500
```